(1)
A crystal of Th2SeN2 relaxed with PBEsol, computed with SCAN.

Cell lengths 4.005, 4.005, 7.104 Å; angles 90.00, 90.00, 120.00 degrees
Sites, in units of the cell vectors:
Th  0.333  0.667  0.295
Th  0.667  0.333  0.705
N  0.333  0.667  0.627
N  0.667  0.333  0.373
Se  0.000  0.000  0.000

Properties
The calculated volume comes out at 19.7 Å³ per atom. The space group is P-3m1, No. 164. As for the density of states at the Fermi level: 0.00 states/eV/f.u. The value obtained for the raw formation energy is -2.17 eV per atom.



(2)
A crystal of TiWSeN2 relaxed with PBEsol, computed with SCAN.

Cell lengths 3.875, 3.875, 5.094 Å; angles 90.00, 90.00, 90.00 degrees
Each line ends with the local moment (μB).
Sites, in units of the cell vectors:
N  0.500  0.000  0.000  -0.14
N  0.000  0.500  0.000  -0.14
Ti  0.500  0.500  0.500  1.69
W  0.000  0.000  0.000  0.19
Se  0.000  0.000  0.500  -0.04

Properties
The calculated volume comes out at 15.3 Å³ per atom. The space group is P4/mmm, No. 123. As for the density of states at the Fermi level: 3.89 states/eV/f.u. The value obtained for the raw formation energy is 0.11 eV per atom.



(3)
A crystal of YTiSe2N relaxed with PBEsol, computed with SCAN.

Cell lengths 3.776, 4.999, 4.999 Å; angles 90.00, 90.00, 90.00 degrees
Sites, in units of the cell vectors:
Ti  0.000  0.000  0.000
Se  0.000  0.000  0.500
Se  0.000  0.500  0.000
N  0.500  0.000  0.000
Y  0.500  0.500  0.500

Properties
The calculated volume comes out at 18.9 Å³ per atom. The space group is P4/mmm, No. 123. As for the density of states at the Fermi level: 1.47 states/eV/f.u. The value obtained for the raw formation energy is -1.15 eV per atom.



(4)
A crystal of ZrTiSeN2 relaxed with PBEsol, computed with SCAN.

Cell lengths 4.060, 4.060, 5.291 Å; angles 90.00, 90.00, 90.00 degrees
Each line ends with the local moment (μB).
Sites, in units of the cell vectors:
N  0.500  0.000  0.000  -0.63
N  0.000  0.500  0.000  -0.63
Ti  0.500  0.500  0.500  1.59
Zr  0.000  0.000  0.000  0.07
Se  0.000  0.000  0.500  -0.08

Properties
The calculated volume comes out at 17.4 Å³ per atom. The space group is P4/mmm, No. 123. As for the density of states at the Fermi level: 3.31 states/eV/f.u. The value obtained for the raw formation energy is -0.08 eV per atom.



(5)
A crystal of TlSe2N2 relaxed with PBEsol, computed with SCAN.

Cell lengths 4.192, 4.192, 5.931 Å; angles 90.00, 90.00, 90.00 degrees
Each line ends with the local moment (μB).
Sites, in units of the cell vectors:
Se  0.000  0.000  0.500  0.09
Se  0.500  0.500  0.500  0.17
N  0.000  0.500  0.000  1.22
N  0.500  0.000  0.000  1.22
Tl  0.000  0.000  0.000  -0.02

Properties
The calculated volume comes out at 20.8 Å³ per atom. The space group is P4/mmm, No. 123. As for the density of states at the Fermi level: 2.49 states/eV/f.u. The value obtained for the raw formation energy is 1.80 eV per atom.



(6)
A crystal of TlSe2N relaxed with PBEsol, computed with SCAN.

Cell lengths 6.152, 6.152, 6.152 Å; angles 99.80, 114.51, 114.51 degrees
Sites, in units of the cell vectors:
Se  0.634  0.375  0.509
Se  0.134  0.259  0.625
Se  0.866  0.491  0.125
Se  0.366  0.875  0.741
N  0.000  0.500  0.500
N  0.500  0.250  0.750
Tl  0.500  0.750  0.250
Tl  0.000  0.000  0.000

Properties
The calculated volume comes out at 21.9 Å³ per atom. The space group is I-42d, No. 122. As for the density of states at the Fermi level: 1.00 states/eV/f.u. The value obtained for the raw formation energy is 0.60 eV per atom.



(7)
A crystal of ZrTlSeN2 relaxed with PBEsol, computed with SCAN.

Cell lengths 4.114, 4.114, 5.316 Å; angles 90.00, 90.00, 90.00 degrees
Each line ends with the local moment (μB).
Sites, in units of the cell vectors:
Se  0.000  0.000  0.500  -0.06
Tl  0.000  0.000  0.000  0.00
N  0.500  0.000  0.000  -0.58
N  0.000  0.500  0.000  -0.58
Zr  0.500  0.500  0.500  0.70

Properties
The calculated volume comes out at 18.0 Å³ per atom. The space group is P4/mmm, No. 123. As for the density of states at the Fermi level: 1.89 states/eV/f.u. The value obtained for the raw formation energy is 1.34 eV per atom.



(8)
A crystal of ZrTlSe2N relaxed with PBEsol, computed with SCAN.

Cell lengths 4.130, 5.315, 5.315 Å; angles 90.00, 90.00, 90.00 degrees
Each line ends with the local moment (μB).
Sites, in units of the cell vectors:
Tl  0.500  0.500  0.500  0.04
Se  0.000  0.500  0.000  0.30
Se  0.000  0.000  0.500  0.30
Zr  0.000  0.000  0.000  -0.14
N  0.500  0.000  0.000  0.83

Properties
The calculated volume comes out at 23.3 Å³ per atom. The space group is P4/mmm, No. 123. As for the density of states at the Fermi level: 2.11 states/eV/f.u. The value obtained for the raw formation energy is -0.45 eV per atom.